# K2MoO4 | Alexandria via LeMat-Bulk | PBE with a Hubbard U | optimized geometry
# **Total energy**: -6.052 eV per atom
# **DOS at the Fermi energy**: 0.00 states/eV per atom
# **SG**: No. 62
# **Theoretical density**: 2786 kg/m³
data_K2MoO4
_chemical_formula_sum 'K8 Mo4 O16'
_cell_length_a 6.583
_cell_length_b 8.111
_cell_length_c 10.632
_cell_angle_alpha 90.00
_cell_angle_beta 90.00
_cell_angle_gamma 90.00
_space_group_name_H-M_alt 'P 1'
_space_group_IT_number 1
loop_
_space_group_symop_operation_xyz
'x,y,z'
loop_
_atom_site_label
_atom_site_fract_x
_atom_site_fract_y
_atom_site_fract_z
K1 0.750 0.492 0.264
K2 0.250 0.508 0.736
K3 0.250 0.008 0.764
K4 0.750 0.992 0.236
K5 0.750 0.791 0.565
K6 0.250 0.209 0.435
K7 0.250 0.709 0.065
K8 0.750 0.291 0.935
Mo1 0.750 0.772 0.900
Mo2 0.250 0.228 0.100
Mo3 0.250 0.728 0.400
Mo4 0.750 0.272 0.600
O1 0.528 0.755 0.801
O2 0.472 0.245 0.199
O3 0.472 0.745 0.301
O4 0.028 0.245 0.199
O5 0.528 0.255 0.699
O6 0.972 0.755 0.801
O7 0.972 0.255 0.699
O8 0.028 0.745 0.301
O9 0.750 0.969 0.978
O10 0.250 0.031 0.022
O11 0.250 0.531 0.478
O12 0.750 0.469 0.522
O13 0.750 0.111 0.484
O14 0.250 0.889 0.516
O15 0.250 0.389 0.984
O16 0.750 0.611 0.016